Material: Ti2CrSi2
Method: DFT, SCAN
State: PBEsol geometry

Summary:
space group: P4/mbm (127)
V: 137.6 Å³/cell
size of the total moment: 0.47 μB per formula unit
raw formation energy: -634 meV per atom

Structure (POSCAR):
```
Ti2CrSi2
1.0
6.2623 0.0000 0.0000
0.0000 6.2623 0.0000
0.0000 0.0000 3.5099
Ti Cr Si
4 2 4
direct
0.1706 0.3294 0.0000
0.3294 0.8294 0.0000
0.6706 0.1706 0.0000
0.8294 0.6706 0.0000
0.0000 0.0000 0.5000
0.5000 0.5000 0.5000
0.1334 0.6334 0.5000
0.3666 0.1334 0.5000
0.6334 0.8666 0.5000
0.8666 0.3666 0.5000
```


Material: TiCrSi4
Method: DFT, SCAN
State: PBEsol geometry

Summary:
space group: P2 (3)
V: 228.4 Å³/cell
size of the total moment: 0.00 μB per formula unit
raw formation energy: -361 meV per atom

Structure (POSCAR):
```
TiCrSi4
1.0
4.5453 0.0000 0.0000
0.0000 12.6879 0.0000
-2.2560 0.0000 3.9605
Ti Cr Si
3 3 12
direct
0.0000 0.0000 0.0000
0.0000 0.4963 0.0000
0.5000 0.6632 0.0000
0.0000 0.3284 0.5000
0.0000 0.8342 0.5000
0.5000 0.1635 0.0000
0.1709 0.1664 0.3427
0.1771 0.6672 0.3418
0.3346 0.4933 0.6568
0.3348 0.8322 0.1689
0.3399 0.3274 0.1672
0.3408 0.9987 0.6620
0.6592 0.9987 0.3380
0.6601 0.3274 0.8328
0.6654 0.4933 0.3432
0.6652 0.8322 0.8311
0.8229 0.6672 0.6582
0.8291 0.1664 0.6573
```


Material: Ti2CrSi6
Method: DFT, SCAN
State: PBEsol geometry

Summary:
space group: C222 (21)
V: 117.5 Å³/cell
size of the total moment: 0.00 μB per formula unit
raw formation energy: -407 meV per atom

Structure (POSCAR):
```
Ti2CrSi6
1.0
2.2901 -4.0062 0.0000
2.2901 4.0062 0.0000
0.0000 0.0000 6.4013
Ti Cr Si
2 1 6
direct
0.0000 0.5000 0.1645
0.5000 0.0000 0.8355
0.0000 0.0000 0.5000
0.1785 0.3356 0.8272
0.3333 0.6667 0.5000
0.3356 0.1785 0.1728
0.6644 0.8215 0.1728
0.6667 0.3333 0.5000
0.8215 0.6644 0.8272
```


Material: Y2TiCrSi
Method: DFT, SCAN
State: PBEsol geometry

Summary:
space group: P4/mmm (123)
V: 122.9 Å³/cell
size of the total moment: 5.85 μB per formula unit
raw formation energy: 382 meV per atom

Structure (POSCAR):
```
Y2TiCrSi
1.0
5.3087 0.0000 0.0000
0.0000 5.3087 0.0000
0.0000 0.0000 4.3618
Y Ti Cr Si
2 1 1 1
direct
0.0000 0.5000 0.0000
0.5000 0.0000 0.0000
0.0000 0.0000 0.5000
0.5000 0.5000 0.5000
0.5000 0.5000 0.0000
```


Material: TlCrSi3
Method: DFT, SCAN
State: PBEsol geometry

Summary:
space group: Pm-3m (221)
ΔE to the lowest computed polymorph: 0 meV/atom
V: 93.4 Å³/cell
size of the total moment: 0.00 μB per formula unit
raw formation energy: 465 meV per atom

Structure (POSCAR):
```
TlCrSi3
1.0
4.5369 0.0000 0.0000
0.0000 4.5369 0.0000
0.0000 0.0000 4.5369
Tl Cr Si
1 1 3
direct
0.0000 0.0000 0.0000
0.5000 0.5000 0.5000
0.0000 0.5000 0.5000
0.5000 0.0000 0.5000
0.5000 0.5000 0.0000
```


Material: VCrSi4
Method: DFT, SCAN
State: PBEsol geometry

Summary:
space group: P2 (3)
V: 216.2 Å³/cell
size of the total moment: 0.00 μB per formula unit
raw formation energy: -361 meV per atom

Structure (POSCAR):
```
VCrSi4
1.0
4.4487 0.0000 0.0000
0.0000 12.5703 0.0000
-2.2167 0.0000 3.8667
V Cr Si
3 3 12
direct
0.0000 0.0000 0.0000
0.0000 0.4995 0.0000
0.5000 0.6662 0.0000
0.0000 0.3323 0.5000
0.0000 0.8326 0.5000
0.5000 0.1677 0.0000
0.1694 0.1668 0.3359
0.1730 0.6671 0.3377
0.3340 0.4986 0.6612
0.3344 0.8333 0.1714
0.3357 0.0000 0.6663
0.3368 0.3323 0.1690
0.6632 0.3323 0.8310
0.6643 0.0000 0.3337
0.6660 0.4986 0.3388
0.6656 0.8333 0.8286
0.8270 0.6671 0.6623
0.8306 0.1668 0.6641
```


Material: CrSiW2
Method: DFT, SCAN
State: PBEsol geometry

Summary:
space group: P4/mmm (123)
V: 55.6 Å³/cell
size of the total moment: 1.69 μB per formula unit
raw formation energy: 151 meV per atom

Structure (POSCAR):
```
CrSiW2
1.0
3.7819 0.0000 0.0000
0.0000 3.7819 0.0000
0.0000 0.0000 3.8898
Cr Si W
1 1 2
direct
0.0000 0.0000 0.0000
0.5000 0.5000 0.0000
0.0000 0.5000 0.5000
0.5000 0.0000 0.5000
```


Material: CrSiW2
Method: DFT, SCAN
State: PBEsol geometry

Summary:
space group: I4/mmm (139)
V: 55.6 Å³/cell
size of the total moment: 1.50 μB per formula unit
raw formation energy: 138 meV per atom

Structure (POSCAR):
```
CrSiW2
1.0
-1.8603 1.8603 4.0186
1.8603 -1.8603 4.0186
1.8603 1.8603 -4.0186
Cr Si W
1 1 2
direct
0.0000 0.0000 0.0000
0.5000 0.5000 0.0000
0.2500 0.7500 0.5000
0.7500 0.2500 0.5000
```


Material: CrSiW2
Method: DFT, SCAN
State: PBEsol geometry

Summary:
space group: Imm2 (44)
V: 54.4 Å³/cell
size of the total moment: 0.00 μB per formula unit
raw formation energy: 31 meV per atom

Structure (POSCAR):
```
CrSiW2
1.0
-1.5449 2.0822 4.2297
1.5449 -2.0822 4.2297
1.5449 2.0822 -4.2297
Cr Si W
1 1 2
direct
0.0000 0.0000 0.0000
0.7611 0.2611 0.5000
0.2422 0.7422 0.5000
0.4981 0.4981 0.0000
```


Material: CrSiW2
Method: DFT, SCAN
State: PBEsol geometry

Summary:
space group: P4mm (99)
V: 54.9 Å³/cell
size of the total moment: 0.01 μB per formula unit
raw formation energy: 58 meV per atom

Structure (POSCAR):
```
CrSiW2
1.0
3.1219 0.0000 0.0000
0.0000 3.1219 0.0000
0.0000 0.0000 5.6340
Cr Si W
1 1 2
direct
0.0000 0.0000 0.0000
0.5000 0.5000 0.2293
0.0000 0.0000 0.4709
0.5000 0.5000 0.7585
```


Material: CrSiW2
Method: DFT, SCAN
State: PBEsol geometry

Summary:
space group: Pmmm (47)
V: 55.3 Å³/cell
size of the total moment: 0.00 μB per formula unit
raw formation energy: 212 meV per atom

Structure (POSCAR):
```
CrSiW2
1.0
2.7860 0.0000 0.0000
0.0000 3.8375 0.0000
0.0000 0.0000 5.1769
Cr Si W
1 1 2
direct
0.0000 0.0000 0.0000
0.0000 0.0000 0.5000
0.5000 0.5000 0.2484
0.5000 0.5000 0.7516
```


Material: YCrSi2
Method: DFT, SCAN
State: PBEsol geometry

Summary:
space group: C2/m (12)
V: 67.0 Å³/cell
size of the total moment: 0.47 μB per formula unit
raw formation energy: -407 meV per atom

Structure (POSCAR):
```
YCrSi2
1.0
3.7975 -1.7903 0.0000
3.7975 1.7903 0.0000
-1.8053 0.0000 4.9280
Y Cr Si
1 1 2
direct
0.0000 0.0000 0.0000
0.5000 0.5000 0.5000
0.2269 0.2269 0.6407
0.7731 0.7731 0.3593
```


Material: YCrSi3
Method: DFT, SCAN
State: PBEsol geometry

Summary:
space group: Pm-3m (221)
V: 133.9 Å³/cell
size of the total moment: 4.33 μB per formula unit
raw formation energy: 1418 meV per atom

Structure (POSCAR):
```
YCrSi3
1.0
5.1156 0.0000 0.0000
0.0000 5.1156 0.0000
0.0000 0.0000 5.1156
Y Cr Si
1 1 3
direct
0.0000 0.0000 0.0000
0.5000 0.5000 0.5000
0.0000 0.0000 0.5000
0.0000 0.5000 0.0000
0.5000 0.0000 0.0000
```


Material: YCrSi
Method: DFT, SCAN
State: PBEsol geometry

Summary:
space group: F-43m (216)
V: 63.1 Å³/cell
size of the total moment: 4.97 μB per formula unit
raw formation energy: -201 meV per atom

Structure (POSCAR):
```
YCrSi
1.0
0.0000 3.1595 3.1595
3.1595 0.0000 3.1595
3.1595 3.1595 0.0000
Y Cr Si
1 1 1
direct
0.0000 0.0000 0.0000
0.7500 0.7500 0.7500
0.5000 0.5000 0.5000
```


Material: ZnCrSi
Method: DFT, SCAN
State: PBEsol geometry

Summary:
space group: F-43m (216)
ΔE to the lowest computed polymorph: 6 meV/atom
V: 46.2 Å³/cell
size of the total moment: 2.76 μB per formula unit
raw formation energy: 218 meV per atom

Structure (POSCAR):
```
ZnCrSi
1.0
0.0000 2.8477 2.8477
2.8477 0.0000 2.8477
2.8477 2.8477 0.0000
Zn Cr Si
1 1 1
direct
0.0000 0.0000 0.0000
0.7500 0.7500 0.7500
0.5000 0.5000 0.5000
```


Material: ZnCrSi
Method: DFT, SCAN
State: PBEsol geometry

Summary:
space group: P3m1 (156)
ΔE to the lowest computed polymorph: 0 meV/atom
V: 38.6 Å³/cell
size of the total moment: 2.10 μB per formula unit
raw formation energy: 212 meV per atom

Structure (POSCAR):
```
ZnCrSi
1.0
2.6753 0.0000 0.0000
-1.3377 2.3169 0.0000
0.0000 0.0000 6.2345
Zn Cr Si
1 1 1
direct
0.0000 0.0000 0.0000
0.3333 0.6667 0.6610
0.6667 0.3333 0.3578
```


Material: Zr2Cr3Si
Method: DFT, SCAN
State: PBEsol geometry

Summary:
space group: P6_3/mmc (194)
V: 173.9 Å³/cell
size of the total moment: 0.00 μB per formula unit
raw formation energy: -291 meV per atom

Structure (POSCAR):
```
Zr2Cr3Si
1.0
4.9138 0.0000 0.0000
-2.4569 4.2555 0.0000
0.0000 0.0000 8.3144
Zr Cr Si
4 6 2
direct
0.3333 0.6667 0.0645
0.3333 0.6667 0.4355
0.6667 0.3333 0.5645
0.6667 0.3333 0.9355
0.1717 0.3434 0.7500
0.1717 0.8283 0.7500
0.3434 0.1717 0.2500
0.6566 0.8283 0.7500
0.8283 0.1717 0.2500
0.8283 0.6566 0.2500
0.0000 0.0000 0.0000
0.0000 0.0000 0.5000
```


Material: ZrCrSi
Method: DFT, SCAN
State: PBEsol geometry

Summary:
space group: Pnma (62)
V: 181.1 Å³/cell
size of the total moment: 0.00 μB per formula unit
raw formation energy: -603 meV per atom

Structure (POSCAR):
```
ZrCrSi
1.0
6.7023 0.0000 0.0000
0.0000 3.4502 0.0000
0.0000 0.0000 7.8331
Zr Cr Si
4 4 4
direct
0.0419 0.2500 0.1689
0.4581 0.7500 0.6689
0.5419 0.2500 0.3311
0.9581 0.7500 0.8311
0.1197 0.2500 0.5567
0.3803 0.7500 0.0567
0.6197 0.2500 0.9433
0.8803 0.7500 0.4433
0.2403 0.7500 0.3657
0.2597 0.2500 0.8657
0.7403 0.7500 0.1343
0.7597 0.2500 0.6343
```


Material: Zr2Cr4Si5
Method: DFT, SCAN
State: PBEsol geometry

Summary:
space group: Ibam (72)
V: 294.0 Å³/cell
size of the total moment: 0.00 μB per formula unit
raw formation energy: -515 meV per atom

Structure (POSCAR):
```
Zr2Cr4Si5
1.0
-3.7628 7.9818 2.4476
3.7628 -7.9818 2.4476
3.7628 7.9818 -2.4476
Zr Cr Si
4 8 10
direct
0.1413 0.1212 0.2624
0.3587 0.6212 0.9799
0.6413 0.3788 0.0201
0.8587 0.8788 0.7376
0.0588 0.7500 0.3088
0.0617 0.7469 0.8086
0.4383 0.2469 0.6853
0.4412 0.7500 0.6912
0.5588 0.2500 0.3088
0.5617 0.7531 0.3147
0.9383 0.2531 0.1914
0.9412 0.2500 0.6912
0.0642 0.4265 0.4907
0.2111 0.7908 0.0019
0.2500 0.2500 0.0000
0.2889 0.2908 0.5797
0.4358 0.9265 0.3624
0.5642 0.0735 0.6376
0.7111 0.7092 0.4203
0.7500 0.7500 0.0000
0.7889 0.2092 0.9981
0.9358 0.5735 0.5093
```


Material: Zr3CrSi
Method: DFT, SCAN
State: PBEsol geometry

Summary:
space group: Pm-3m (221)
V: 117.5 Å³/cell
size of the total moment: 4.26 μB per formula unit
raw formation energy: 300 meV per atom

Structure (POSCAR):
```
Zr3CrSi
1.0
4.8974 0.0000 0.0000
0.0000 4.8974 0.0000
0.0000 0.0000 4.8974
Zr Cr Si
3 1 1
direct
0.0000 0.0000 0.5000
0.0000 0.5000 0.0000
0.5000 0.0000 0.0000
0.5000 0.5000 0.5000
0.0000 0.0000 0.0000
```


Material: Sr3CrSn
Method: DFT, SCAN
State: PBEsol geometry

Summary:
space group: Pm-3m (221)
total energy: -24.053 eV per atom
V: 242.7 Å³/cell
size of the total moment: 5.93 μB per formula unit

Structure (POSCAR):
```
Sr3CrSn
1.0
6.2373 0.0000 0.0000
0.0000 6.2373 0.0000
0.0000 0.0000 6.2373
Sr Cr Sn
3 1 1
direct
0.0000 0.0000 0.5000
0.0000 0.5000 0.0000
0.5000 0.0000 0.0000
0.5000 0.5000 0.5000
0.0000 0.0000 0.0000
```


Material: SrCr3Sn
Method: DFT, SCAN
State: PBEsol geometry

Summary:
space group: Pm-3m (221)
total energy: -20.716 eV per atom
V: 122.2 Å³/cell
size of the total moment: 13.30 μB per formula unit

Structure (POSCAR):
```
SrCr3Sn
1.0
4.9623 0.0000 0.0000
0.0000 4.9623 0.0000
0.0000 0.0000 4.9623
Sr Cr Sn
1 3 1
direct
0.0000 0.0000 0.0000
0.0000 0.0000 0.5000
0.0000 0.5000 0.0000
0.5000 0.0000 0.0000
0.5000 0.5000 0.5000
```


Material: Ta3CrSn
Method: DFT, SCAN
State: PBEsol geometry

Summary:
space group: Pm-3m (221)
total energy: -50.016 eV per atom
V: 96.5 Å³/cell
size of the total moment: 0.00 μB per formula unit

Structure (POSCAR):
```
Ta3CrSn
1.0
4.5863 0.0000 0.0000
0.0000 4.5863 0.0000
0.0000 0.0000 4.5863
Ta Cr Sn
3 1 1
direct
0.0000 0.0000 0.5000
0.0000 0.5000 0.0000
0.5000 0.0000 0.0000
0.0000 0.0000 0.0000
0.5000 0.5000 0.5000
```


Material: TaCrSn3
Method: DFT, SCAN
State: PBEsol geometry

Summary:
space group: Pm-3m (221)
total energy: -37.471 eV per atom
V: 118.6 Å³/cell
size of the total moment: 5.11 μB per formula unit

Structure (POSCAR):
```
TaCrSn3
1.0
4.9134 0.0000 0.0000
0.0000 4.9134 0.0000
0.0000 0.0000 4.9134
Ta Cr Sn
1 1 3
direct
0.0000 0.0000 0.0000
0.5000 0.5000 0.5000
0.0000 0.5000 0.5000
0.5000 0.0000 0.5000
0.5000 0.5000 0.0000
```


Material: Cr3TcSn
Method: DFT, SCAN
State: PBEsol geometry

Summary:
space group: Pm-3m (221)
total energy: -23.659 eV per atom
V: 117.4 Å³/cell
size of the total moment: 8.98 μB per formula unit

Structure (POSCAR):
```
Cr3TcSn
1.0
4.8962 0.0000 0.0000
0.0000 4.8962 0.0000
0.0000 0.0000 4.8962
Cr Tc Sn
3 1 1
direct
0.0000 0.0000 0.5000
0.0000 0.5000 0.0000
0.5000 0.0000 0.0000
0.5000 0.5000 0.5000
0.0000 0.0000 0.0000
```


Material: ZrCrTc2Sn
Method: DFT, SCAN
State: PBEsol geometry

Summary:
space group: P4/mmm (123)
total energy: -29.425 eV per atom
V: 115.6 Å³/cell
size of the total moment: 1.53 μB per formula unit

Structure (POSCAR):
```
ZrCrTc2Sn
1.0
4.6583 0.0000 0.0000
0.0000 4.6583 0.0000
0.0000 0.0000 5.3252
Zr Cr Tc Sn
1 1 2 1
direct
0.0000 0.0000 0.0000
0.5000 0.5000 0.5000
0.0000 0.5000 0.0000
0.5000 0.0000 0.0000
0.0000 0.0000 0.5000
```